Computed, not measured: Th8TlTc3Te4 after structural relaxation at the PBE level of DFT.

Results
ΔE_f (raw)   -9.4 eV per formula unit
Calculated total energy   -7.17 eV/atom
SG   R-3m, No. 166
V   30.49 Å³/atom
Total moment   0.00 μB per formula unit

a b c (Å): 8.587 9.106 8.587
angles (deg): 118.13 120.00 90.00
Fractional coordinates of all 16 atoms:
Th: 0.248 0.703 0.955
Th: 0.752 0.297 0.505
Th: 0.264 0.293 0.529
Th: 0.736 0.707 0.471
Th: 0.708 0.703 0.955
Th: 0.248 0.703 0.495
Th: 0.292 0.297 0.045
Te: 0.500 0.000 0.500
Tl: 0.000 0.500 0.000
Tc: 0.500 0.500 0.500
Tc: 0.500 0.500 0.000
Te: 0.500 0.000 0.000
Te: 0.000 0.000 0.000
Tc: 0.000 0.500 0.500
Te: 0.000 0.000 0.500
Th: 0.752 0.297 0.045

=====

Computed, not measured: AgP2Se after structural relaxation at the PBE level of DFT.

Results
ΔE_f (raw)   0.4 eV per formula unit
Calculated total energy   -4.19 eV/atom
SG   Cm, No. 8
V   22.89 Å³/atom
Total moment   0.00 μB per formula unit

a b c (Å): 4.536 4.536 7.170
angles (deg): 113.25 113.25 43.28
Fractional coordinates of all 4 atoms:
P: 0.060 0.060 0.916
P: 0.683 0.683 0.823
Ag: 0.206 0.206 0.294
Se: 0.551 0.551 0.467

=====

Computed, not measured: HgIrAu2 after structural relaxation at the PBE level of DFT.

Results
Calculated total energy   -3.58 eV/atom
SG   Cmmm, No. 65
Formation enthalpy at 0 K   0.346 eV per atom
V   18.17 Å³/atom
Total moment   0.00 μB per formula unit

a b c (Å): 2.902 2.902 10.070
angles (deg): 90.00 90.00 120.99
Fractional coordinates of all 4 atoms:
Au: 0.000 0.000 0.986
Ir: 0.500 0.500 0.750
Au: 0.000 0.000 0.514
Hg: 0.500 0.500 0.250